Entry 1:
# NbTlSb2 | the Alexandria database | PBE-GGA | relaxed
# **Uncorrected formation energy**: 396 meV per atom
# **Total DFT energy (no corrections)**: -4.774 eV per atom
data_NbTlSb2
_cell_length_a 7.326
_cell_length_b 7.326
_cell_length_c 7.326
_cell_angle_alpha 90.00
_cell_angle_beta 90.00
_cell_angle_gamma 90.00
_space_group_name_H-M_alt 'F m -3 m'
_space_group_IT_number 225
_space_group_name_Hall '-F 4 2 3'
loop_
_atom_site_label
_atom_site_type_symbol
_atom_site_fract_x
_atom_site_fract_y
_atom_site_fract_z
_atom_site_occupancy
Nb1 Nb 0.000 0.000 0.000 1
Tl1 Tl 0.000 0.000 0.500 1
Sb1 Sb 0.250 0.250 0.250 1


Entry 2:
# Nb2TlSb | the Alexandria database | PBE-GGA | relaxed
# **Uncorrected formation energy**: 543 meV per atom
# **Total DFT energy (no corrections)**: -6.114 eV per atom
data_Nb2TlSb
_cell_length_a 4.198
_cell_length_b 4.198
_cell_length_c 20.554
_cell_angle_alpha 90.00
_cell_angle_beta 90.00
_cell_angle_gamma 90.00
_space_group_name_H-M_alt 'I -4 2 d'
_space_group_IT_number 122
_space_group_name_Hall 'I -4 2bw'
loop_
_atom_site_label
_atom_site_type_symbol
_atom_site_fract_x
_atom_site_fract_y
_atom_site_fract_z
_atom_site_occupancy
Nb1 Nb 0.235 0.250 0.125 1
Tl1 Tl 0.000 0.000 0.000 1
Sb1 Sb 0.000 0.000 0.500 1


Entry 3:
# Nb3TlSb | the Alexandria database | PBE-GGA | relaxed
# **Uncorrected formation energy**: 1358 meV per atom
# **Total DFT energy (no corrections)**: -5.981 eV per atom
data_Nb3TlSb
_cell_length_a 5.068
_cell_length_b 5.068
_cell_length_c 5.068
_cell_angle_alpha 90.00
_cell_angle_beta 90.00
_cell_angle_gamma 90.00
_space_group_name_H-M_alt 'P m -3 m'
_space_group_IT_number 221
_space_group_name_Hall '-P 4 2 3'
loop_
_atom_site_label
_atom_site_type_symbol
_atom_site_fract_x
_atom_site_fract_y
_atom_site_fract_z
_atom_site_occupancy
Nb1 Nb 0.000 0.000 0.500 1
Tl1 Tl 0.500 0.500 0.500 1
Sb1 Sb 0.000 0.000 0.000 1


Entry 4:
# NbTlSb2 | the Alexandria database | PBE-GGA | relaxed
# **Uncorrected formation energy**: -41 meV per atom
# **Total DFT energy (no corrections)**: -5.211 eV per atom
data_NbTlSb2
_cell_length_a 3.4164
_cell_length_b 3.4164
_cell_length_c 31.7669
_cell_angle_alpha 90.00
_cell_angle_beta 90.00
_cell_angle_gamma 120.00
_space_group_name_H-M_alt 'R -3 m'
_space_group_IT_number 166
_space_group_name_Hall '-R 3 2"'
loop_
_atom_site_label
_atom_site_type_symbol
_atom_site_fract_x
_atom_site_fract_y
_atom_site_fract_z
_atom_site_occupancy
Nb1 Nb 0.0000 0.0000 0.0000 1
Tl1 Tl 0.0000 0.0000 0.5000 1
Sb1 Sb 0.0000 0.0000 0.2681 1


Entry 5:
# Nb3TlSb | the Alexandria database | PBE-GGA | relaxed
# **Uncorrected formation energy**: 1826 meV per atom
# **Total DFT energy (no corrections)**: -5.514 eV per atom
data_Nb3TlSb
_cell_length_a 5.114
_cell_length_b 5.114
_cell_length_c 5.114
_cell_angle_alpha 90.00
_cell_angle_beta 90.00
_cell_angle_gamma 90.00
_space_group_name_H-M_alt 'P m -3 m'
_space_group_IT_number 221
_space_group_name_Hall '-P 4 2 3'
loop_
_atom_site_label
_atom_site_type_symbol
_atom_site_fract_x
_atom_site_fract_y
_atom_site_fract_z
_atom_site_occupancy
Nb1 Nb 0.000 0.000 0.500 1
Tl1 Tl 0.000 0.000 0.000 1
Sb1 Sb 0.500 0.500 0.500 1


Entry 6:
# Nb2TlSb | the Alexandria database | PBE-GGA | relaxed
# **Uncorrected formation energy**: 295 meV per atom
# **Total DFT energy (no corrections)**: -6.362 eV per atom
data_Nb2TlSb
_cell_length_a 6.864
_cell_length_b 6.864
_cell_length_c 6.864
_cell_angle_alpha 90.00
_cell_angle_beta 90.00
_cell_angle_gamma 90.00
_space_group_name_H-M_alt 'F m -3 m'
_space_group_IT_number 225
_space_group_name_Hall '-F 4 2 3'
loop_
_atom_site_label
_atom_site_type_symbol
_atom_site_fract_x
_atom_site_fract_y
_atom_site_fract_z
_atom_site_occupancy
Nb1 Nb 0.250 0.250 0.250 1
Tl1 Tl 0.000 0.000 0.000 1
Sb1 Sb 0.000 0.000 0.500 1


Entry 7:
# NbTlSb2 | the Alexandria database | PBE-GGA | relaxed
# **Uncorrected formation energy**: -45 meV per atom
# **Total DFT energy (no corrections)**: -5.215 eV per atom
data_NbTlSb2
_cell_length_a 3.493
_cell_length_b 3.493
_cell_length_c 8.321
_cell_angle_alpha 90.00
_cell_angle_beta 90.00
_cell_angle_gamma 90.00
_space_group_name_H-M_alt 'P 4/m m m'
_space_group_IT_number 123
_space_group_name_Hall '-P 4 2'
loop_
_atom_site_label
_atom_site_type_symbol
_atom_site_fract_x
_atom_site_fract_y
_atom_site_fract_z
_atom_site_occupancy
Nb1 Nb 0.000 0.000 0.000 1
Tl1 Tl 0.000 0.000 0.500 1
Sb1 Sb 0.500 0.500 0.194 1


Entry 8:
# NbTl2Sb | the Alexandria database | PBE-GGA | relaxed
# **Uncorrected formation energy**: 708 meV per atom
# **Total DFT energy (no corrections)**: -4.023 eV per atom
data_NbTl2Sb
_cell_length_a 7.451
_cell_length_b 7.451
_cell_length_c 7.451
_cell_angle_alpha 90.00
_cell_angle_beta 90.00
_cell_angle_gamma 90.00
_space_group_name_H-M_alt 'F m -3 m'
_space_group_IT_number 225
_space_group_name_Hall '-F 4 2 3'
loop_
_atom_site_label
_atom_site_type_symbol
_atom_site_fract_x
_atom_site_fract_y
_atom_site_fract_z
_atom_site_occupancy
Nb1 Nb 0.000 0.000 0.000 1
Tl1 Tl 0.250 0.250 0.250 1
Sb1 Sb 0.000 0.000 0.500 1


Number 5 is which compound? Nb3TlSb